Compound: GeH10N4F6
Source: Alexandria
Functional: PBE
Structure: optimized geometry

Cell: 6.0535 5.3854 11.9802 Å, 90.00 106.02 90.00°
Last column: nearest neighbours and their distance in Å.
Fractional coordinates of all 42 atoms:
Ge: 0.0000 0.0000 0.0000  6 F 1.82-1.87
Ge: 0.0000 0.5000 0.5000  6 F 1.82-1.87
H: 0.1700 0.1527 0.6949  1 N 1.04
H: 0.1700 0.3473 0.1949  1 N 1.04
H: 0.2284 0.5323 0.3129  1 N 1.04
H: 0.2284 0.9677 0.8129  1 N 1.04
H: 0.2797 0.1185 0.3650  1 N 1.03
H: 0.2797 0.3815 0.8650  1 N 1.03
H: 0.4230 0.5054 0.2330  1 N 1.07
H: 0.4230 0.9946 0.7330  1 N 1.07
H: 0.4764 0.7267 0.5953  1 N 1.03
H: 0.4764 0.7733 0.0953  1 N 1.03
H: 0.5236 0.2267 0.9047  1 N 1.03
H: 0.5236 0.2733 0.4047  1 N 1.03
H: 0.5770 0.0054 0.2670  1 N 1.07
H: 0.5770 0.4946 0.7670  1 N 1.07
H: 0.7203 0.6185 0.1350  1 N 1.03
H: 0.7203 0.8815 0.6350  1 N 1.03
H: 0.7716 0.0323 0.1871  1 N 1.04
H: 0.7716 0.4677 0.6871  1 N 1.04
H: 0.8300 0.6527 0.8051  1 N 1.04
H: 0.8300 0.8473 0.3051  1 N 1.04
N: 0.2998 0.0909 0.7655  3 H 1.04-1.07
N: 0.2998 0.4091 0.2655  3 H 1.04-1.07
N: 0.4057 0.1977 0.3342  2 H 1.03
N: 0.4057 0.3023 0.8342  2 H 1.03
N: 0.5943 0.6977 0.1658  2 H 1.03
N: 0.5943 0.8023 0.6658  2 H 1.03
N: 0.7002 0.5909 0.7345  3 H 1.04-1.07
N: 0.7002 0.9091 0.2345  3 H 1.04-1.07
F: 0.0526 0.7324 0.6147  1 Ge 1.82
F: 0.0526 0.7676 0.1147  1 Ge 1.82
F: 0.0978 0.7181 0.4019  2 H 1.80-1.85, 1 Ge 1.87
F: 0.0978 0.7819 0.9019  2 H 1.80-1.85, 1 Ge 1.87
F: 0.2942 0.1123 0.0568  1 Ge 1.83
F: 0.2942 0.3877 0.5568  1 Ge 1.83
F: 0.7058 0.6123 0.4432  1 Ge 1.83
F: 0.7058 0.8877 0.9432  1 Ge 1.83
F: 0.9022 0.2181 0.0981  2 H 1.80-1.85, 1 Ge 1.87
F: 0.9022 0.2819 0.5981  2 H 1.80-1.85, 1 Ge 1.87
F: 0.9474 0.2324 0.8853  1 Ge 1.82
F: 0.9474 0.2676 0.3853  1 Ge 1.82

Results
Spin magnetization = 0.000 μB/atom
VASP energy = -211.22 eV per cell